Record 1
NpZn4Pt, optimized geometry, DFT PBE; E_form = -0.087 eV per atom
1.0
0.000 3.702 3.702
3.702 0.000 3.702
3.702 3.702 0.000
Np Zn Pt
1 4 1
Direct
0.000 0.000 0.000
0.376 0.376 0.376
0.376 0.376 0.872
0.376 0.872 0.376
0.872 0.376 0.376
0.750 0.750 0.750

Record 2
ZrNpPt2, optimized geometry, DFT PBE; E_form = -0.677 eV per atom
1.0
5.207 0.000 0.000
0.000 5.207 0.000
0.000 0.000 2.911
Zr Np Pt
1 1 2
Direct
0.000 0.000 0.000
0.500 0.500 0.000
0.000 0.500 0.500
0.500 0.000 0.500

Record 3
ZrNpPt4, optimized geometry, DFT PBE; E_form = -0.682 eV per atom
1.0
0.000 3.807 3.807
3.807 0.000 3.807
3.807 3.807 0.000
Zr Np Pt
1 1 4
Direct
0.000 0.000 0.000
0.250 0.250 0.250
0.125 0.625 0.625
0.625 0.125 0.625
0.625 0.625 0.125
0.625 0.625 0.625

Record 4
ZrNpPt2, optimized geometry, DFT PBE; E_form = -0.648 eV per atom
1.0
3.106 0.000 0.000
0.000 3.106 0.000
0.000 0.000 8.065
Zr Np Pt
1 1 2
Direct
0.000 0.000 0.000
0.000 0.000 0.500
0.500 0.500 0.233
0.500 0.500 0.767

Record 5
ZrNp3Pt12, optimized geometry, DFT PBE; E_form = -0.701 eV per atom
1.0
4.120 0.000 0.000
0.000 4.120 0.000
0.000 0.000 16.624
Zr Np Pt
1 3 12
Direct
0.000 0.000 0.000
0.000 0.000 0.247
0.000 0.000 0.500
0.000 0.000 0.753
0.000 0.500 0.119
0.000 0.500 0.373
0.000 0.500 0.627
0.000 0.500 0.881
0.500 0.000 0.119
0.500 0.000 0.373
0.500 0.000 0.627
0.500 0.000 0.881
0.500 0.500 0.000
0.500 0.500 0.245
0.500 0.500 0.500
0.500 0.500 0.755

Record 6
ZrNpPt2, optimized geometry, DFT PBE; E_form = -0.561 eV per atom
1.0
4.024 0.000 0.000
-2.012 3.485 0.000
0.000 0.000 19.026
Zr Np Pt
3 3 6
Direct
0.000 0.000 0.000
0.333 0.667 0.667
0.667 0.333 0.333
0.000 0.000 0.500
0.333 0.667 0.167
0.667 0.333 0.833
0.000 0.000 0.254
0.000 0.000 0.746
0.333 0.667 0.413
0.333 0.667 0.921
0.667 0.333 0.079
0.667 0.333 0.587

Record 7
Zr2NpPt, optimized geometry, DFT PBE; E_form = -0.072 eV per atom
1.0
6.861 0.000 0.000
0.000 6.861 0.000
0.000 0.000 6.861
Zr Np Pt
8 4 4
Direct
0.250 0.250 0.250
0.250 0.250 0.750
0.250 0.750 0.250
0.250 0.750 0.750
0.750 0.250 0.250
0.750 0.250 0.750
0.750 0.750 0.250
0.750 0.750 0.750
0.000 0.000 0.000
0.000 0.500 0.500
0.500 0.000 0.500
0.500 0.500 0.000
0.000 0.000 0.500
0.000 0.500 0.000
0.500 0.000 0.000
0.500 0.500 0.500

Record 8
Zr2NpPt, optimized geometry, DFT PBE; E_form = -0.270 eV per atom
1.0
5.063 0.000 0.000
0.000 5.063 0.000
0.000 0.000 3.113
Zr Np Pt
2 1 1
Direct
0.000 0.500 0.000
0.500 0.000 0.000
0.000 0.000 0.500
0.500 0.500 0.500

Number 1: N(E_F) 10.52 states/eV/cell. Number 2: N(E_F) 7.24 states/eV/cell. Number 3: N(E_F) 11.55 states/eV/cell. Number 4: N(E_F) 6.42 states/eV/cell. Number 5: N(E_F) 35.72 states/eV/cell. Number 6: N(E_F) 36.49 states/eV/cell. Number 7: N(E_F) 60.70 states/eV/cell. Number 8: N(E_F) 6.49 states/eV/cell.